[1]
Computed, not measured: a relaxed TbDySe2 crystal at the GGA-PBE level of DFT.

The structure belongs to space group P4/mmm (No. 123); the cell edges are 4.074, 4.074 and 5.766 Å and the angles 90.00°, 90.00° and 90.00°. The distinct sites, in fractional coordinates, are Tb at (0.000, 0.000, 0.000), Dy at (0.500, 0.500, 0.500), Se at (0.000, 0.000, 0.500) and Se at (0.500, 0.500, 0.000).

=====

[2]
Computed, not measured: a relaxed ZrZnCo2 crystal at the GGA-PBE level of DFT.

The structure belongs to space group P6_3/mmc (No. 194); the cell edges are 4.2789, 4.2789 and 7.2812 Å and the angles 90.00°, 90.00° and 120.00°. The distinct sites, in fractional coordinates, are Zr at (0.0000, 0.0000, 0.0000), Zn at (0.3333, 0.6667, 0.2500) and Co at (0.3333, 0.6667, 0.5985).

For the formation energy, the calculation gives -0.143 eV/atom.

=====

[3]
Computed, not measured: a relaxed Hf2Ga2Au crystal at the GGA-PBE level of DFT.

The structure belongs to space group P4/mbm (No. 127); the cell edges are 6.612, 6.612 and 4.167 Å and the angles 90.00°, 90.00° and 90.00°. The distinct sites, in fractional coordinates, are Hf at (0.166, 0.334, 0.000), Ga at (0.134, 0.634, 0.500) and Au at (0.000, 0.000, 0.500).

For the polymorph energy (0 for the lowest one), the calculation gives 0 meV/atom.

=====

no.,raw total energy (eV/atom)
1,-5.810
2,-6.149
3,-6.363